Tl3Co2NiF9: optimized geometry, PBE with a Hubbard U.

CIF file:
```
data_Tl3Co2NiF9
_cell_length_a 5.9077
_cell_length_b 5.9077
_cell_length_c 7.2122
_cell_angle_alpha 90.00
_cell_angle_beta 90.00
_cell_angle_gamma 120.00
_symmetry_space_group_name_H-M 'P -3 m 1'
_symmetry_Int_Tables_number 164
_symmetry_space_group_name_Hall '-P 3 2"'
loop_
_atom_site_label
_atom_site_fract_x
_atom_site_fract_y
_atom_site_fract_z
Tl1 0.0000 0.0000 0.0000
Tl2 0.3333 0.6667 0.6625
Co1 0.3333 0.6667 0.1639
Ni1 0.0000 0.0000 0.5000
F1 0.0000 0.5000 0.0000
F2 0.1655 0.3310 0.3341
```

Values from the calculation:
- Final energy: -4.344 eV/atom